[1]
Material: FeSiAg4
Method: DFT, PBE
State: optimized geometry

Summary:
- electronic total energy (eV/cell) = -85.721
- E_form (uncorrected) (eV/atom) = 0.643
- theoretical density (g cm⁻³) = 7.7

a = 7.628 Å, b = 7.628 Å, c = 7.628 Å
α = 90.00°, β = 90.00°, γ = 90.00°
Space group F-43m (No. 216)
Asymmetric unit:
Fe 0.000 0.000 0.000 (multiplicity 4)
Si 0.250 0.250 0.250 (multiplicity 4)
Ag 0.125 0.125 0.625 (multiplicity 16)

[2]
Material: FeSi2Ag2
Method: DFT, PBE
State: optimized geometry

Summary:
- electronic total energy (eV/cell) = -47.804
- E_form (uncorrected) (eV/atom) = 0.222
- theoretical density (g cm⁻³) = 7.0

a = 6.079 Å, b = 6.079 Å, c = 4.225 Å
α = 90.00°, β = 90.00°, γ = 90.00°
Space group P4/mbm (No. 127)
Asymmetric unit:
Fe 0.000 0.000 0.000 (multiplicity 2)
Si 0.137 0.363 0.000 (multiplicity 4)
Ag 0.188 0.688 0.500 (multiplicity 4)

[3]
Material: FeSi2Ag
Method: DFT, PBE
State: optimized geometry

Summary:
- E above lowest polymorph (meV/atom) = 408
- electronic total energy (eV/cell) = -41.554
- E_form (uncorrected) (eV/atom) = 0.346
- theoretical density (g cm⁻³) = 6.3

a = 5.611 Å, b = 7.607 Å, c = 2.696 Å
α = 90.00°, β = 90.00°, γ = 90.00°
Space group Cmmm (No. 65)
Asymmetric unit:
Fe 0.000 0.000 0.000 (multiplicity 2)
Si 0.250 0.250 0.500 (multiplicity 4)
Ag 0.000 0.500 0.000 (multiplicity 2)

[4]
Material: FeSiAg2
Method: DFT, PBE
State: optimized geometry

Summary:
- electronic total energy (eV/cell) = -54.344
- E_form (uncorrected) (eV/atom) = 0.368
- theoretical density (g cm⁻³) = 7.9

a = 2.8193 Å, b = 2.8193 Å, c = 27.4956 Å
α = 90.00°, β = 90.00°, γ = 120.00°
Space group R-3m (No. 166, hexagonal axes)
Asymmetric unit:
Fe 0.0000 0.0000 0.0000 (multiplicity 3)
Si 0.0000 0.0000 0.5000 (multiplicity 3)
Ag 0.0000 0.0000 0.2502 (multiplicity 6)

[5]
Material: FeSiAg2
Method: DFT, PBE
State: optimized geometry

Summary:
- electronic total energy (eV/cell) = -72.928
- E_form (uncorrected) (eV/atom) = 0.339
- theoretical density (g cm⁻³) = 8.1

a = 6.266 Å, b = 6.266 Å, c = 6.266 Å
α = 90.00°, β = 90.00°, γ = 90.00°
Space group F-43m (No. 216)
Asymmetric unit:
Fe 0.000 0.000 0.000 (multiplicity 4)
Si 0.250 0.250 0.750 (multiplicity 4)
Ag 0.000 0.000 0.500 (multiplicity 4)
Ag 0.250 0.250 0.250 (multiplicity 4)

[6]
Material: FeSi2Ag
Method: DFT, PBE
State: optimized geometry

Summary:
- E above lowest polymorph (meV/atom) = 160
- electronic total energy (eV/cell) = -21.767
- E_form (uncorrected) (eV/atom) = 0.098
- theoretical density (g cm⁻³) = 6.6

a = 3.164 Å, b = 3.164 Å, c = 5.546 Å
α = 90.00°, β = 90.00°, γ = 90.00°
Space group P4mm (No. 99)
Asymmetric unit:
Fe 0.000 0.000 0.000 (multiplicity 1)
Si 0.000 0.000 0.407 (multiplicity 1)
Si 0.500 0.500 0.136 (multiplicity 1)
Ag 0.500 0.500 0.660 (multiplicity 1)

[7]
Material: FeSi3Ag
Method: DFT, PBE
State: optimized geometry

Summary:
- electronic total energy (eV/cell) = -20.081
- E_form (uncorrected) (eV/atom) = 1.500
- theoretical density (g cm⁻³) = 3.7

a = 4.792 Å, b = 4.792 Å, c = 4.792 Å
α = 90.00°, β = 90.00°, γ = 90.00°
Space group Pm-3m (No. 221)
Asymmetric unit:
Fe 0.000 0.000 0.000 (multiplicity 1)
Si 0.000 0.500 0.500 (multiplicity 3)
Ag 0.500 0.500 0.500 (multiplicity 1)

[8]
Material: FeSiAg2
Method: DFT, PBE
State: optimized geometry

Summary:
- electronic total energy (eV/cell) = -35.837
- E_form (uncorrected) (eV/atom) = 0.417
- theoretical density (g cm⁻³) = 7.7

a = 3.153 Å, b = 4.465 Å, c = 9.124 Å
α = 90.00°, β = 90.00°, γ = 90.00°
Space group Cmmm (No. 65)
Asymmetric unit:
Fe 0.000 0.000 0.000 (multiplicity 2)
Si 0.000 0.000 0.500 (multiplicity 2)
Ag 0.000 0.500 0.244 (multiplicity 4)